Density functional theory data (PBE) for TmScHg6 after structural relaxation.

Cell: 4.4326 4.4326 9.4557 Å, 90.00 90.00 90.00°
Space group P4/mmm (No. 123)
One atom of each set of equivalent atoms:
Tm 0.0000 0.0000 0.0000 (multiplicity 1)
Sc 0.0000 0.0000 0.5000 (multiplicity 1)
Hg 0.0000 0.5000 0.2546 (multiplicity 4)
Hg 0.5000 0.5000 0.0000 (multiplicity 1)
Hg 0.5000 0.5000 0.5000 (multiplicity 1)

Energy of formation, eV per atom: -0.24
Excess energy over the best structure of this formula in the dataset, eV per formula unit: 0.00
Calculated volume, Å³/atom: 23.22
Calculated total energy, eV/atom: -1.8211
N(E_F), states/eV/f.u.: 4.95